# 1
A plane-wave DFT calculation with PBE was carried out for an optimized crystal structure of K2InBr.

Properties
Its uncorrected energy is -2.378 eV per atom. For the energy relative to the elements, uncorrected, the calculation gives -16.744 kcal/mol of atoms. The value obtained for the relative energy among the computed polymorphs is 16 kJ/mol of formula units. As for the total moment: 0.00 μB per cell.

Lattice parameters (Å, degrees): 10.1130 10.1130 3.9829 89.98 89.98 21.20
Fractional coordinates of all 4 atoms:
Br (0.5627, 0.5627, 0.6243)
In (0.8062, 0.8062, 0.6260)
K (0.9640, 0.9640, 0.1250)
K (0.1670, 0.1670, 0.1247)

***

# 2
A plane-wave DFT calculation with PBE was carried out for an optimized crystal structure of SrP2WS.

Properties
Its uncorrected energy is -3.935 eV per atom. For the energy relative to the elements, uncorrected, the calculation gives 45.696 kcal/mol of atoms. The value obtained for the relative energy among the computed polymorphs is 1173 kJ/mol of formula units. As for the total moment: 2.07 μB per cell.

Lattice parameters (Å, degrees): 5.2782 5.2782 5.2883 90.00 90.00 90.00
Last column: magnetic moment on the atom in μB.
Fractional coordinates of all 5 atoms:
Sr (0.0000, 0.0000, 0.0000)  -0.04
S (0.0000, 0.0000, 0.5000)  -0.36
W (0.5000, 0.5000, 0.5000)  3.13
P (0.0000, 0.5000, 0.0000)  -0.36
P (0.5000, 0.0000, 0.0000)  -0.36

***

# 3
A plane-wave DFT calculation with PBE was carried out for an optimized crystal structure of HfInOs2.

Properties
As for the energy of formation: 0.75 eV per atom. Its uncorrected energy is -8.041 eV per atom. As for the total moment: 0.00 μB per cell.

Lattice parameters (Å, degrees): 7.3617 7.3617 5.9180 51.54 51.54 90.00
Fractional coordinates of all 8 atoms:
Hf (0.0000, 0.0000, 0.0000)
Hf (0.7500, 0.2500, 0.5000)
Os (0.6391, 0.1250, 0.2500)
Os (0.1109, 0.6250, 0.2500)
Os (0.3750, 0.3609, 0.7500)
Os (0.8750, 0.8891, 0.7500)
In (0.5000, 0.5000, 0.0000)
In (0.2500, 0.7500, 0.5000)

***

# 4
A plane-wave DFT calculation with PBE was carried out for an optimized crystal structure of Ca3PuPb4.

Properties
As for the energy of formation: -0.40 eV per atom. Its uncorrected energy is -4.798 eV per atom. As for the total moment: 6.02 μB per cell.

Lattice parameters (Å, degrees): 5.0882 5.0893 9.8627 104.97 104.95 90.00
Last column: magnetic moment on the atom in μB.
Fractional coordinates of all 8 atoms:
Pb (0.3761, 0.3760, 0.7522)  0.01
Pb (0.6239, 0.6240, 0.2478)  0.01
Pb (0.1239, 0.1239, 0.2478)  0.01
Pb (0.8761, 0.8761, 0.7522)  0.01
Ca (0.0000, 0.5000, 0.0000)  0.04
Ca (0.7495, 0.2495, 0.4990)  -0.01
Ca (0.2505, 0.7505, 0.5010)  -0.01
Pu (0.5000, 0.0000, 0.0000)  5.57

***

# 5
A plane-wave DFT calculation with PBE was carried out for an optimized crystal structure of Y6MgCd.

Properties
As for the energy of formation: -0.01 eV per atom. Its uncorrected energy is -5.170 eV per atom. The value obtained for the relative energy among the computed polymorphs is 70 kJ/mol of formula units. As for the total moment: 0.00 μB per cell.

Lattice parameters (Å, degrees): 8.9158 8.9171 6.2065 44.07 44.11 59.96
Fractional coordinates of all 8 atoms:
Y (0.9667, 0.4812, 0.8051)
Y (0.7472, 0.9667, 0.8047)
Y (0.5192, 0.2529, 0.1944)
Y (0.2528, 0.0333, 0.1953)
Y (0.0333, 0.5188, 0.1949)
Y (0.4808, 0.7471, 0.8056)
Mg (0.0000, 0.0000, 0.0000)
Cd (0.5000, 0.5000, 0.5000)

***

# 6
A plane-wave DFT calculation with PBE was carried out for an optimized crystal structure of ReSb2Br.

Properties
Its uncorrected energy is -5.364 eV per atom. For the energy relative to the elements, uncorrected, the calculation gives 5.235 kcal/mol of atoms. The value obtained for the relative energy among the computed polymorphs is 5 kJ/mol of formula units. As for the total moment: 0.00 μB per cell.

Lattice parameters (Å, degrees): 8.9348 8.9348 8.9348 22.72 22.72 22.72
Fractional coordinates of all 4 atoms:
Re (0.7500, 0.7500, 0.7500)
Br (0.2500, 0.2500, 0.2500)
Sb (0.0127, 0.0127, 0.0127)
Sb (0.4873, 0.4873, 0.4873)

***

# 7
A plane-wave DFT calculation with PBE was carried out for an optimized crystal structure of Np6AsSe5.

Properties
Its uncorrected energy is -9.317 eV per atom. For the energy relative to the elements, uncorrected, the calculation gives -23.237 kcal/mol of atoms. As for the total moment: 26.11 μB per cell.

Lattice parameters (Å, degrees): 7.1140 7.1158 7.1142 59.99 80.41 70.53
Last column: magnetic moment on the atom in μB.
Fractional coordinates of all 12 atoms:
Np (0.7512, 0.0828, 0.3316)  4.05
Np (0.2488, 0.5855, 0.3316)  4.05
Np (0.2490, 0.2485, 0.0000)  4.05
Np (0.7510, 0.7515, 0.0000)  4.05
Np (0.7512, 0.4145, 0.6684)  4.05
Np (0.2488, 0.9172, 0.6684)  4.05
As (0.0000, 0.0000, 0.0000)  -0.10
Se (0.5000, 0.1671, 0.6658)  -0.08
Se (0.0000, 0.3334, 0.3333)  -0.08
Se (0.5000, 0.5000, 0.0000)  -0.08
Se (0.0000, 0.6666, 0.6667)  -0.08
Se (0.5000, 0.8329, 0.3342)  -0.08

***

# 8
A plane-wave DFT calculation with PBE was carried out for an optimized crystal structure of Cd2W.

Properties
As for the energy of formation: 0.92 eV per atom. Its uncorrected energy is -4.010 eV per atom. The value obtained for the relative energy among the computed polymorphs is 137 kJ/mol of formula units. As for the total moment: 0.00 μB per cell.

Lattice parameters (Å, degrees): 5.3995 5.3995 5.3995 60.00 60.00 60.00
Fractional coordinates of all 6 atoms:
Cd (0.1250, 0.6250, 0.1250)
Cd (0.1250, 0.1250, 0.6250)
Cd (0.6250, 0.1250, 0.1250)
Cd (0.1250, 0.1250, 0.1250)
W (0.7500, 0.7500, 0.7500)
W (0.5000, 0.5000, 0.5000)

***

# 9
A plane-wave DFT calculation with PBE was carried out for an optimized crystal structure of SrCr2ReTe.

Properties
Its uncorrected energy is -4.275 eV per atom. For the energy relative to the elements, uncorrected, the calculation gives 69.851 kcal/mol of atoms. As for the total moment: 0.00 μB per cell.

Lattice parameters (Å, degrees): 4.5814 5.0445 4.5814 90.00 90.00 90.00
Fractional coordinates of all 5 atoms:
Re (0.0000, 0.5000, 0.0000)
Te (0.5000, 0.5000, 0.5000)
Cr (0.0000, 0.0000, 0.5000)
Cr (0.5000, 0.0000, 0.0000)
Sr (0.0000, 0.0000, 0.0000)

***

# 10
A plane-wave DFT calculation with PBE was carried out for an optimized crystal structure of Cd3Pt.

Properties
As for the energy of formation: -0.15 eV per atom. Its uncorrected energy is -2.343 eV per atom. As for the total moment: 0.00 μB per cell.

Lattice parameters (Å, degrees): 3.0527 3.0527 8.5593 90.00 90.00 89.98
Fractional coordinates of all 4 atoms:
Pt (0.5000, 0.5000, 0.2500)
Cd (0.0000, 0.0000, 0.0287)
Cd (0.0000, 0.0000, 0.4713)
Cd (0.5000, 0.5000, 0.7500)

***

# 11
A plane-wave DFT calculation with PBE was carried out for an optimized crystal structure of MgCd2GaAg.

Properties
As for the energy of formation: 0.05 eV per atom. Its uncorrected energy is -1.815 eV per atom. As for the total moment: 0.00 μB per cell.

Lattice parameters (Å, degrees): 3.2342 7.5647 9.4564 90.00 90.00 102.34
Fractional coordinates of all 10 atoms:
Mg (0.8996, 0.7993, 0.7500)
Mg (0.1004, 0.2007, 0.2500)
Cd (0.6587, 0.3175, 0.5284)
Cd (0.3413, 0.6825, 0.4716)
Cd (0.3413, 0.6825, 0.0284)
Cd (0.6587, 0.3175, 0.9716)
Ga (0.0000, 0.0000, 0.5000)
Ga (0.0000, 0.0000, 0.0000)
Ag (0.2395, 0.4789, 0.7500)
Ag (0.7605, 0.5211, 0.2500)

***

# 12
A plane-wave DFT calculation with PBE was carried out for an optimized crystal structure of Zn2SbCl.

Properties
Its uncorrected energy is -2.058 eV per atom. For the energy relative to the elements, uncorrected, the calculation gives 1.642 kcal/mol of atoms. The value obtained for the relative energy among the computed polymorphs is 162 kJ/mol of formula units. As for the total moment: 0.00 μB per cell.

Lattice parameters (Å, degrees): 4.9121 4.9121 4.9121 60.00 60.00 60.00
Fractional coordinates of all 4 atoms:
Sb (0.5000, 0.5000, 0.5000)
Zn (0.2500, 0.2500, 0.2500)
Zn (0.7500, 0.7500, 0.7500)
Cl (0.0000, 0.0000, 0.0000)

***

# 13
A plane-wave DFT calculation with PBE was carried out for an optimized crystal structure of Tb2ZnRu2.

Properties
As for the energy of formation: -0.32 eV per atom. Its uncorrected energy is -6.138 eV per atom. As for the total moment: 0.00 μB per cell.

Lattice parameters (Å, degrees): 5.4580 5.5542 7.9947 103.54 90.00 119.43
Fractional coordinates of all 10 atoms:
Tb (0.4963, 0.2941, 0.1477)
Tb (0.2022, 0.7059, 0.3523)
Tb (0.5037, 0.7059, 0.8523)
Tb (0.7978, 0.2941, 0.6477)
Zn (0.8581, 0.0000, 0.2500)
Zn (0.1419, 0.0000, 0.7500)
Ru (0.7170, 0.7265, 0.4917)
Ru (0.9906, 0.2735, 0.0083)
Ru (0.2830, 0.2735, 0.5083)
Ru (0.0094, 0.7265, 0.9917)